No. 1
This record from Alexandria via LeMat-Bulk describes crystalline Ce2PmDy at its relaxed geometry. The functional is PBE-GGA.

## Properties
- energy of formation (eV/atom) = 0.11
- crystal system = tetragonal

a = 5.105 Å, b = 4.924 Å, c = 4.924 Å
α = 90.00°, β = 90.00°, γ = 90.00°
Site moments in Bohr magnetons follow the coordinates.
Fractional positions:
Pm (0.500, 0.000, 0.000)  0.01
Ce (0.000, 0.000, 0.500)  0.63
Ce (0.000, 0.500, 0.000)  0.63
Dy (0.500, 0.500, 0.500)  0.03

No. 2
This record from Alexandria via LeMat-Bulk describes crystalline PrPuCl at its relaxed geometry. The functional is PBE-GGA.

## Properties
- formation energy (no corrections) (kJ per mole of atoms) = -56.8
- crystal system = orthorhombic

a = 3.707 Å, b = 5.145 Å, c = 8.592 Å
α = 72.58°, β = 90.00°, γ = 90.00°
Fractional positions:
Pr (0.250, 0.109, 0.782)
Pr (0.750, 0.891, 0.218)
Pu (0.250, 0.459, 0.082)
Pu (0.750, 0.541, 0.918)
Cl (0.750, 0.705, 0.591)
Cl (0.250, 0.295, 0.409)

No. 3
This record from Alexandria via LeMat-Bulk describes crystalline Cs2AlCuCl6 at its relaxed geometry. The functional is PBE-GGA.

## Properties
- formation energy (no corrections) (kJ per mole of atoms) = -145.5
- crystal system = trigonal

a = 6.152 Å, b = 7.345 Å, c = 7.345 Å
α = 120.00°, β = 90.00°, γ = 90.00°
Site moments in Bohr magnetons follow the coordinates.
Fractional positions:
Cs (0.251, 0.333, 0.667)  0.00
Cs (0.749, 0.667, 0.333)  0.00
Al (0.000, 0.000, 0.000)  0.00
Cu (0.500, 0.000, 0.000)  0.10
Cl (0.775, 0.150, 0.301)  0.00
Cl (0.775, 0.150, 0.850)  0.00
Cl (0.775, 0.699, 0.850)  0.00
Cl (0.225, 0.850, 0.150)  0.00
Cl (0.225, 0.301, 0.150)  0.00
Cl (0.225, 0.850, 0.699)  0.00

Computed values of uncorrected energy (unit: eV for the cell shown) for the preceding records, in sequence: -20.8; -45.5; -35.7.
Computed values of M_tot (unit: μB/f.u.) for the preceding records, in sequence: 1.59; 0.00; 0.12.